# 1
MgReNi2 GGA-PBE relaxed; crystal system = orthorhombic; calculated formation energy = 0.14 eV per atom; total moment = 0.000 μB/atom
1.0
2.629 0.000 0.000
0.000 3.815 0.000
0.000 0.000 5.390
Mg Re Ni
1 1 2
Cartesian
0.000 0.000 0.000
1.314 1.907 3.675
0.000 0.000 2.629
1.314 1.907 1.207

***

# 2
CaTa2V GGA-PBE relaxed; crystal system = cubic; excess energy over the best structure of this formula in the dataset = 0.0 kJ per mole of atoms; calculated formation energy = 0.83 eV per atom; total moment = 0.000 μB/atom
1.0
0.000 3.356 3.356
3.356 0.000 3.356
3.356 3.356 0.000
Ca Ta V
1 2 1
Cartesian
0.000 0.000 0.000
1.678 1.678 1.678
5.034 5.034 5.034
3.356 3.356 3.356

***

# 3
BaCoHg2 GGA-PBE relaxed; crystal system = orthorhombic; calculated formation energy = 0.16 eV per atom; total moment = 0.327 μB/atom
1.0
3.609 0.000 0.000
0.000 3.620 0.000
0.000 0.000 7.585
Ba Co Hg
1 1 2
Cartesian
0.000 0.000 0.000
0.000 0.000 3.793
1.805 1.810 2.367
1.805 1.810 5.218

***

# 4
Na3Ac4Ge4 GGA-PBE relaxed; crystal system = orthorhombic; calculated formation energy = -0.23 eV per atom; total moment = 0.000 μB/atom
1.0
-2.529 4.153 8.918
2.529 -4.153 8.918
2.529 4.153 -8.918
Na Ac Ge
3 4 4
Cartesian
0.000 0.000 0.000
2.529 0.000 7.465
0.000 4.153 1.454
2.529 1.918 -2.985
2.529 1.918 2.985
0.000 2.235 5.933
0.000 2.235 11.904
0.000 0.000 3.440
2.529 2.850 0.000
0.000 1.303 8.918
0.000 0.000 14.397

***

Question: total moment of number 4 (Na3Ac4Ge4)?
Answer: 0.000 μB/atom